The following is a PBE-GGA calculation of a geometry-optimized ScFe2SiHg structure, from Alexandria.

The structure in CIF format:
```
data_ScFe2SiHg
_chemical_formula_sum 'Sc1 Fe2 Si1 Hg1'
_cell_length_a 4.710
_cell_length_b 4.710
_cell_length_c 5.079
_cell_angle_alpha 90.00
_cell_angle_beta 90.00
_cell_angle_gamma 90.00
_space_group_name_H-M_alt 'P 4/m m m'
_space_group_IT_number 123
_space_group_name_Hall '-P 4 2'
loop_
_atom_site_label
_atom_site_type_symbol
_atom_site_fract_x
_atom_site_fract_y
_atom_site_fract_z
_atom_site_occupancy
Sc1 Sc 0.000 0.000 0.000 1
Fe1 Fe 0.000 0.500 0.500 1
Si1 Si 0.500 0.500 0.000 1
Hg1 Hg 0.000 0.000 0.500 1
```

Computed properties:
crystal system = tetragonal
ΔE_f (raw) = 29.360 kcal/mol of atoms
VASP energy = -4.523 eV/atom
magnetic moment = 5.8 μB/f.u.

---

The following is a PBE-GGA calculation of a geometry-optimized ScTlFeHg2 structure, from Alexandria.

The structure in CIF format:
```
data_ScTlFeHg2
_chemical_formula_sum 'Sc1 Tl1 Fe1 Hg2'
_cell_length_a 5.628
_cell_length_b 5.628
_cell_length_c 4.613
_cell_angle_alpha 90.00
_cell_angle_beta 90.00
_cell_angle_gamma 90.00
_space_group_name_H-M_alt 'P 4/m m m'
_space_group_IT_number 123
_space_group_name_Hall '-P 4 2'
loop_
_atom_site_label
_atom_site_type_symbol
_atom_site_fract_x
_atom_site_fract_y
_atom_site_fract_z
_atom_site_occupancy
Sc1 Sc 0.000 0.000 0.000 1
Tl1 Tl 0.500 0.500 0.500 1
Fe1 Fe 0.000 0.000 0.500 1
Hg1 Hg 0.000 0.500 0.000 1
```

Computed properties:
calculated formation energy = 638 meV per atom
crystal system = tetragonal
VASP energy = -2.915 eV/atom
magnetic moment = 1.3 μB/f.u.